[1]
TcTeMo2 after structural relaxation. Source: Alexandria via LeMat-Bulk, functional PBE-GGA.

```
TcTeMo2
1.0
4.6532 0.0000 0.0000
0.0000 3.1476 0.0000
-1.9191 0.0000 4.6377
Tc Te Mo
1 1 2
direct
0.0000 0.0000 0.0000
0.5000 0.5000 0.0000
0.0000 0.5000 0.5000
0.5000 0.0000 0.5000
```

space group: No. 10
final energy: -8.31 eV/atom
DOS(E_F): 3.83 states/eV per cell
ΔE_f (raw): 0.483 eV/atom
ρ: 10.21 g/cm³



[2]
TcTeMo2 after structural relaxation. Source: Alexandria via LeMat-Bulk, functional PBE-GGA.

```
TcTeMo2
1.0
3.0695 0.0000 0.0000
0.0000 4.1907 0.0000
0.0000 0.0000 5.3408
Tc Te Mo
1 1 2
direct
0.0000 0.0000 0.0000
0.5000 0.5000 0.2721
0.0000 0.0000 0.5443
0.5000 0.5000 0.7758
```

space group: No. 25
final energy: -8.40 eV/atom
DOS(E_F): 3.83 states/eV per cell
ΔE_f (raw): 0.388 eV/atom
ρ: 10.09 g/cm³



[3]
TcTeMo2 after structural relaxation. Source: Alexandria via LeMat-Bulk, functional PBE-GGA.

```
TcTeMo2
1.0
3.0407 0.0000 0.0000
0.0000 4.2136 0.0000
-0.0070 0.0000 5.3063
Tc Te Mo
1 1 2
direct
0.0000 0.0000 0.0000
0.0000 0.0000 0.5000
0.4986 0.5000 0.7694
0.5014 0.5000 0.2306
```

space group: No. 10
final energy: -8.43 eV/atom
DOS(E_F): 3.59 states/eV per cell
ΔE_f (raw): 0.366 eV/atom
ρ: 10.20 g/cm³



[4]
TcTe2Mo after structural relaxation. Source: Alexandria via LeMat-Bulk, functional PBE-GGA.

```
TcTe2Mo
1.0
3.1602 0.0000 0.0000
0.0000 4.3139 0.0000
-0.1428 0.0000 5.8664
Tc Te Mo
1 2 1
direct
0.0000 0.0000 0.0000
0.2015 0.5000 0.2530
0.7985 0.5000 0.7470
0.5000 0.0000 0.5000
```

space group: No. 10
final energy: -6.01 eV/atom
DOS(E_F): 4.78 states/eV per cell
ΔE_f (raw): 0.856 eV/atom
ρ: 9.33 g/cm³



[5]
TcTe2Mo after structural relaxation. Source: Alexandria via LeMat-Bulk, functional PBE-GGA.

```
TcTe2Mo
1.0
6.6333 0.0000 0.0000
0.0000 6.6333 0.0000
0.0000 0.0000 6.6333
Tc Te Mo
4 8 4
direct
0.0000 0.0000 0.0000
0.0000 0.5000 0.5000
0.5000 0.0000 0.5000
0.5000 0.5000 0.0000
0.2500 0.2500 0.2500
0.2500 0.2500 0.7500
0.2500 0.7500 0.2500
0.2500 0.7500 0.7500
0.7500 0.2500 0.2500
0.7500 0.2500 0.7500
0.7500 0.7500 0.2500
0.7500 0.7500 0.7500
0.0000 0.0000 0.5000
0.0000 0.5000 0.0000
0.5000 0.0000 0.0000
0.5000 0.5000 0.5000
```

space group: No. 225
final energy: -6.55 eV/atom
DOS(E_F): 10.64 states/eV per cell
ΔE_f (raw): 0.324 eV/atom
ρ: 10.22 g/cm³



[6]
Tc4TeMo after structural relaxation. Source: Alexandria via LeMat-Bulk, functional PBE-GGA.

```
Tc4TeMo
1.0
0.0000 3.6700 3.6700
3.6700 0.0000 3.6700
3.6700 3.6700 0.0000
Tc Te Mo
4 1 1
direct
0.1250 0.1250 0.1250
0.1250 0.1250 0.6249
0.1250 0.6249 0.1250
0.6249 0.1250 0.1250
0.7500 0.7500 0.7500
0.5000 0.5000 0.5000
```

space group: No. 216
final energy: -8.69 eV/atom
DOS(E_F): 7.32 states/eV per cell
ΔE_f (raw): 0.554 eV/atom
ρ: 10.34 g/cm³



[7]
TcTe2Mo after structural relaxation. Source: Alexandria via LeMat-Bulk, functional PBE-GGA.

```
TcTe2Mo
1.0
9.7373 0.0000 0.0000
0.0000 3.3387 0.0000
-1.0690 0.0000 4.6122
Tc Te Mo
2 4 2
direct
0.0000 0.0000 0.0000
0.5000 0.5000 0.0000
0.0000 0.5000 0.5032
0.2383 0.5000 0.1076
0.5000 0.0000 0.5032
0.7383 0.0000 0.1076
0.2362 0.0000 0.6108
0.7362 0.5000 0.6108
```

space group: No. 8
final energy: -6.51 eV/atom
DOS(E_F): 8.15 states/eV per cell
ΔE_f (raw): 0.359 eV/atom
ρ: 9.95 g/cm³



[8]
TcTe2Mo after structural relaxation. Source: Alexandria via LeMat-Bulk, functional PBE-GGA.

```
TcTe2Mo
1.0
3.3359 0.0000 0.0000
0.0000 5.5867 0.0000
0.0000 0.0000 8.5671
Tc Te Mo
2 4 2
direct
0.0000 0.0000 0.0000
0.5000 0.5000 0.0000
0.0000 0.5000 0.2467
0.0000 0.5000 0.7533
0.5000 0.0000 0.2467
0.5000 0.0000 0.7533
0.0000 0.0000 0.5000
0.5000 0.5000 0.5000
```

space group: No. 65
final energy: -6.01 eV/atom
DOS(E_F): 9.39 states/eV per cell
ΔE_f (raw): 0.863 eV/atom
ρ: 9.34 g/cm³



[9]
TcTeMo2 after structural relaxation. Source: Alexandria via LeMat-Bulk, functional PBE-GGA.

```
TcTeMo2
1.0
4.6095 0.0000 0.0000
0.0000 4.6095 0.0000
0.0000 0.0000 3.1541
Tc Te Mo
1 1 2
direct
0.0000 0.0000 0.0000
0.5000 0.5000 0.0000
0.0000 0.5000 0.5000
0.5000 0.0000 0.5000
```

space group: No. 123
final energy: -8.36 eV/atom
DOS(E_F): 4.75 states/eV per cell
ΔE_f (raw): 0.435 eV/atom
ρ: 10.34 g/cm³



[10]
TcTeMo2 after structural relaxation. Source: Alexandria via LeMat-Bulk, functional PBE-GGA.

```
TcTeMo2
1.0
6.1210 0.0000 0.0000
0.0000 6.1210 0.0000
0.0000 0.0000 10.5974
Tc Te Mo
4 4 8
direct
0.0000 0.0000 0.0000
0.0000 0.5000 0.2500
0.5000 0.0000 0.7500
0.5000 0.5000 0.5000
0.0000 0.0000 0.5000
0.0000 0.5000 0.7500
0.5000 0.0000 0.2500
0.5000 0.5000 0.0000
0.2171 0.2500 0.1250
0.2500 0.7171 0.3750
0.2500 0.7829 0.8750
0.2829 0.2500 0.6250
0.7171 0.7500 0.6250
0.7500 0.2171 0.8750
0.7500 0.2829 0.3750
0.7829 0.7500 0.1250
```

space group: No. 122
final energy: -7.60 eV/atom
DOS(E_F): 16.67 states/eV per cell
ΔE_f (raw): 1.188 eV/atom
ρ: 6.98 g/cm³



[11]
TcTeMo2 after structural relaxation. Source: Alexandria via LeMat-Bulk, functional PBE-GGA.

```
TcTeMo2
1.0
3.0961 0.0000 0.0000
-1.5481 2.6813 0.0000
0.0000 0.0000 25.2200
Tc Te Mo
3 3 6
direct
0.0000 0.0000 0.0000
0.3333 0.6667 0.6667
0.6667 0.3333 0.3333
0.0000 0.0000 0.7542
0.3333 0.6667 0.4208
0.6667 0.3333 0.0875
0.0000 0.0000 0.2542
0.0000 0.0000 0.5092
0.3333 0.6667 0.1759
0.3333 0.6667 0.9209
0.6667 0.3333 0.5875
0.6667 0.3333 0.8426
```

space group: No. 160
final energy: -8.35 eV/atom
DOS(E_F): 10.52 states/eV per cell
ΔE_f (raw): 0.444 eV/atom
ρ: 9.93 g/cm³



[12]
TcTeMo2 after structural relaxation. Source: Alexandria via LeMat-Bulk, functional PBE-GGA.

```
TcTeMo2
1.0
3.2666 0.0000 0.0000
0.0000 4.4299 0.0000
0.0000 0.0000 9.1389
Tc Te Mo
2 2 4
direct
0.0000 0.0000 0.0000
0.5000 0.5000 0.5000
0.0000 0.0000 0.5000
0.5000 0.5000 0.0000
0.0000 0.5000 0.2428
0.0000 0.5000 0.7572
0.5000 0.0000 0.2572
0.5000 0.0000 0.7428
```

space group: No. 71
final energy: -8.48 eV/atom
DOS(E_F): 6.05 states/eV per cell
ΔE_f (raw): 0.308 eV/atom
ρ: 10.48 g/cm³



[13]
TcTeMo2 after structural relaxation. Source: Alexandria via LeMat-Bulk, functional PBE-GGA.

```
TcTeMo2
1.0
3.1203 0.0000 0.0000
0.0000 3.1203 0.0000
0.0000 0.0000 6.9158
Tc Te Mo
1 1 2
direct
0.0000 0.0000 0.0000
0.0000 0.0000 0.5000
0.5000 0.5000 0.2343
0.5000 0.5000 0.7657
```

space group: No. 123
final energy: -8.52 eV/atom
DOS(E_F): 3.31 states/eV per cell
ΔE_f (raw): 0.277 eV/atom
ρ: 10.30 g/cm³



[14]
TcTeMo4 after structural relaxation. Source: Alexandria via LeMat-Bulk, functional PBE-GGA.

```
TcTeMo4
1.0
0.0000 3.7170 3.7170
3.7170 0.0000 3.7170
3.7170 3.7170 0.0000
Tc Te Mo
1 1 4
direct
0.0000 0.0000 0.0000
0.7500 0.7500 0.7500
0.3757 0.3757 0.3757
0.3757 0.3757 0.8729
0.3757 0.8729 0.3757
0.8729 0.3757 0.3757
```

space group: No. 216
final energy: -8.88 eV/atom
DOS(E_F): 6.66 states/eV per cell
ΔE_f (raw): 0.592 eV/atom
ρ: 9.85 g/cm³



[15]
TcTe2Mo after structural relaxation. Source: Alexandria via LeMat-Bulk, functional PBE-GGA.

```
TcTe2Mo
1.0
6.0796 0.0000 0.0000
0.0000 6.0796 0.0000
0.0000 0.0000 11.9318
Tc Te Mo
4 8 4
direct
0.0000 0.0000 0.0000
0.0000 0.5000 0.2500
0.5000 0.0000 0.7500
0.5000 0.5000 0.5000
0.2388 0.2500 0.1250
0.2500 0.7388 0.3750
0.2500 0.7612 0.8750
0.2612 0.2500 0.6250
0.7388 0.7500 0.6250
0.7500 0.2388 0.8750
0.7500 0.2612 0.3750
0.7612 0.7500 0.1250
0.0000 0.0000 0.5000
0.0000 0.5000 0.7500
0.5000 0.0000 0.2500
0.5000 0.5000 0.0000
```

space group: No. 122
final energy: -6.13 eV/atom
DOS(E_F): 17.79 states/eV per cell
ΔE_f (raw): 0.739 eV/atom
ρ: 6.76 g/cm³



[16]
ZrTc2TeMo after structural relaxation. Source: Alexandria via LeMat-Bulk, functional PBE-GGA.

```
ZrTc2TeMo
1.0
4.8231 0.0000 0.0000
0.0000 4.8231 0.0000
0.0000 0.0000 4.9130
Zr Tc Te Mo
1 2 1 1
direct
0.0000 0.0000 0.0000
0.0000 0.5000 0.0000
0.5000 0.0000 0.0000
0.5000 0.5000 0.5000
0.0000 0.0000 0.5000
```

space group: No. 123
final energy: -6.79 eV/atom
DOS(E_F): 7.45 states/eV per cell
ΔE_f (raw): 1.865 eV/atom
ρ: 7.42 g/cm³



[17]
ZrTcTeMo2 after structural relaxation. Source: Alexandria via LeMat-Bulk, functional PBE-GGA.

```
ZrTcTeMo2
1.0
4.8494 0.0000 0.0000
0.0000 4.8494 0.0000
0.0000 0.0000 5.1581
Zr Tc Te Mo
1 1 1 2
direct
0.0000 0.0000 0.0000
0.5000 0.5000 0.0000
0.0000 0.0000 0.5000
0.0000 0.5000 0.5000
0.5000 0.0000 0.5000
```

space group: No. 123
final energy: -6.88 eV/atom
DOS(E_F): 7.81 states/eV per cell
ΔE_f (raw): 1.867 eV/atom
ρ: 6.96 g/cm³



[18]
ThTc2Mo after structural relaxation. Source: Alexandria via LeMat-Bulk, functional PBE-GGA.

```
ThTc2Mo
1.0
3.1225 0.0000 0.0000
-1.5612 2.7042 0.0000
0.0000 0.0000 26.8974
Th Tc Mo
3 6 3
direct
0.0000 0.0000 0.0000
0.3333 0.6667 0.6667
0.6667 0.3333 0.3333
0.0000 0.0000 0.2365
0.0000 0.0000 0.7635
0.3333 0.6667 0.4302
0.3333 0.6667 0.9031
0.6667 0.3333 0.0969
0.6667 0.3333 0.5698
0.0000 0.0000 0.5000
0.3333 0.6667 0.1667
0.6667 0.3333 0.8333
```

space group: No. 166
final energy: -9.27 eV/atom
DOS(E_F): 13.98 states/eV per cell
ρ: 11.49 g/cm³
DFT formation energy: 0.479 eV/atom



[19]
ThTc2Mo after structural relaxation. Source: Alexandria via LeMat-Bulk, functional PBE-GGA.

```
ThTc2Mo
1.0
3.1836 0.0000 0.0000
0.0000 3.1836 0.0000
0.0000 0.0000 7.3388
Th Tc Mo
1 2 1
direct
0.0000 0.0000 0.0000
0.5000 0.5000 0.2973
0.5000 0.5000 0.7027
0.0000 0.0000 0.5000
```

space group: No. 123
final energy: -9.61 eV/atom
DOS(E_F): 6.02 states/eV per cell
ρ: 11.70 g/cm³
DFT formation energy: 0.131 eV/atom



[20]
TmThTcMo after structural relaxation. Source: Alexandria via LeMat-Bulk, functional PBE-GGA.

```
TmThTcMo
1.0
6.9518 0.0000 0.0000
0.0000 6.9518 0.0000
0.0000 0.0000 6.9518
Tm Th Tc Mo
4 4 4 4
direct
0.0000 0.0000 0.0000
0.0000 0.5000 0.5000
0.5000 0.0000 0.5000
0.5000 0.5000 0.0000
0.0000 0.0000 0.5000
0.0000 0.5000 0.0000
0.5000 0.0000 0.0000
0.5000 0.5000 0.5000
0.2500 0.2500 0.7500
0.2500 0.7500 0.2500
0.7500 0.2500 0.2500
0.7500 0.7500 0.7500
0.2500 0.2500 0.2500
0.2500 0.7500 0.7500
0.7500 0.2500 0.7500
0.7500 0.7500 0.2500
```

space group: No. 216
final energy: -8.12 eV/atom
DOS(E_F): 22.79 states/eV per cell
ρ: 11.76 g/cm³
DFT formation energy: 0.149 eV/atom



[21]
TiTcMo after structural relaxation. Source: Alexandria via LeMat-Bulk, functional PBE-GGA.

```
TiTcMo
1.0
4.3558 0.0000 0.0000
-2.1779 3.7722 0.0000
0.0000 0.0000 2.8016
Ti Tc Mo
1 1 1
direct
0.0000 0.0000 0.0000
0.3333 0.6667 0.6652
0.6667 0.3333 0.3477
```

space group: No. 156
final energy: -9.94 eV/atom
DOS(E_F): 2.19 states/eV per cell
ρ: 8.72 g/cm³
DFT formation energy: -0.241 eV/atom



[22]
Ti3Tc2Mo3 after structural relaxation. Source: Alexandria via LeMat-Bulk, functional PBE-GGA.

```
Ti3Tc2Mo3
1.0
4.3931 0.0000 0.0000
0.0000 4.4692 0.0000
0.0000 0.0000 6.2650
Ti Tc Mo
3 2 3
direct
0.0000 0.0000 0.0000
0.0000 0.0000 0.5000
0.5000 0.5000 0.0000
0.5000 0.0000 0.2503
0.5000 0.0000 0.7497
0.0000 0.5000 0.2525
0.0000 0.5000 0.7475
0.5000 0.5000 0.5000
```

space group: No. 47
final energy: -9.89 eV/atom
DOS(E_F): 8.06 states/eV per cell
ρ: 8.47 g/cm³
DFT formation energy: -0.280 eV/atom



[23]
Ti12TcMo6 after structural relaxation. Source: Alexandria via LeMat-Bulk, functional PBE-GGA.

```
Ti12TcMo6
1.0
4.7252 2.7281 4.1359
-4.7252 2.7281 4.1359
0.0000 -5.4561 4.1359
Ti Tc Mo
12 1 6
direct
0.0213 0.3019 0.9257
0.0743 0.9787 0.6981
0.1210 0.3399 0.4567
0.3019 0.9257 0.0213
0.3399 0.4567 0.1210
0.4567 0.1210 0.3399
0.5433 0.8790 0.6601
0.6601 0.5433 0.8790
0.6981 0.0743 0.9787
0.8790 0.6601 0.5433
0.9257 0.0213 0.3019
0.9787 0.6981 0.0743
0.5000 0.5000 0.5000
0.2286 0.7654 0.3933
0.2346 0.6067 0.7714
0.3933 0.2286 0.7654
0.6067 0.7714 0.2346
0.7654 0.3933 0.2286
0.7714 0.2346 0.6067
```

space group: No. 148
final energy: -8.96 eV/atom
DOS(E_F): 20.04 states/eV per cell
ρ: 6.48 g/cm³
DFT formation energy: -0.008 eV/atom



[24]
Ti6TcMo after structural relaxation. Source: Alexandria via LeMat-Bulk, functional PBE-GGA.

```
Ti6TcMo
1.0
4.4631 0.0000 0.0000
0.0000 4.4631 0.0000
0.0000 0.0000 13.1705
Ti Tc Mo
12 2 2
direct
0.0000 0.0000 0.2488
0.0000 0.0000 0.7512
0.0000 0.5000 0.1123
0.0000 0.5000 0.3877
0.0000 0.5000 0.6123
0.0000 0.5000 0.8877
0.5000 0.0000 0.1123
0.5000 0.0000 0.3877
0.5000 0.0000 0.6123
0.5000 0.0000 0.8877
0.5000 0.5000 0.2512
0.5000 0.5000 0.7488
0.0000 0.0000 0.5000
0.5000 0.5000 0.0000
0.0000 0.0000 0.0000
0.5000 0.5000 0.5000
```

space group: No. 139
final energy: -8.70 eV/atom
DOS(E_F): 27.10 states/eV per cell
ρ: 6.09 g/cm³
DFT formation energy: -0.127 eV/atom



[25]
Ti4Tc2Mo after structural relaxation. Source: Alexandria via LeMat-Bulk, functional PBE-GGA.

```
Ti4Tc2Mo
1.0
4.6244 0.0000 0.0000
0.0000 4.6244 0.0000
0.0000 0.0000 12.4100
Ti Tc Mo
8 4 2
direct
0.0000 0.0000 0.2014
0.0000 0.0000 0.7986
0.0000 0.5000 0.0000
0.0000 0.5000 0.5000
0.5000 0.0000 0.0000
0.5000 0.0000 0.5000
0.5000 0.5000 0.2986
0.5000 0.5000 0.7014
0.0000 0.0000 0.3774
0.0000 0.0000 0.6226
0.5000 0.5000 0.1226
0.5000 0.5000 0.8774
0.0000 0.0000 0.0000
0.5000 0.5000 0.5000
```

space group: No. 139
final energy: -8.33 eV/atom
DOS(E_F): 9.10 states/eV per cell
ρ: 6.05 g/cm³
DFT formation energy: 0.690 eV/atom



[26]
Ti5Tc4Mo after structural relaxation. Source: Alexandria via LeMat-Bulk, functional PBE-GGA.

```
Ti5Tc4Mo
1.0
3.1139 0.0000 0.0000
0.0000 3.1139 0.0000
0.0000 0.0000 15.6003
Ti Tc Mo
5 4 1
direct
0.0000 0.0000 0.0000
0.0000 0.0000 0.1980
0.0000 0.0000 0.3955
0.0000 0.0000 0.6045
0.0000 0.0000 0.8020
0.5000 0.5000 0.0994
0.5000 0.5000 0.2984
0.5000 0.5000 0.7016
0.5000 0.5000 0.9006
0.5000 0.5000 0.5000
```

space group: No. 123
final energy: -9.58 eV/atom
DOS(E_F): 11.75 states/eV per cell
ρ: 7.98 g/cm³
DFT formation energy: -0.404 eV/atom



[27]
TiTcMo2 after structural relaxation. Source: Alexandria via LeMat-Bulk, functional PBE-GGA.

```
TiTcMo2
1.0
6.2660 0.0000 0.0000
0.0000 6.2660 0.0000
0.0000 0.0000 6.2660
Ti Tc Mo
4 4 8
direct
0.0000 0.0000 0.0000
0.0000 0.5000 0.5000
0.5000 0.0000 0.5000
0.5000 0.5000 0.0000
0.0000 0.0000 0.5000
0.0000 0.5000 0.0000
0.5000 0.0000 0.0000
0.5000 0.5000 0.5000
0.2500 0.2500 0.2500
0.2500 0.2500 0.7500
0.2500 0.7500 0.2500
0.2500 0.7500 0.7500
0.7500 0.2500 0.2500
0.7500 0.2500 0.7500
0.7500 0.7500 0.2500
0.7500 0.7500 0.7500
```

space group: No. 225
final energy: -10.15 eV/atom
DOS(E_F): 10.05 states/eV per cell
ρ: 9.12 g/cm³
DFT formation energy: -0.167 eV/atom



[28]
Ti4Tc3Mo after structural relaxation. Source: Alexandria via LeMat-Bulk, functional PBE-GGA.

```
Ti4Tc3Mo
1.0
3.1149 0.0000 0.0000
0.0000 3.1149 0.0000
0.0000 0.0000 12.5023
Ti Tc Mo
4 3 1
direct
0.0000 0.0000 0.1231
0.0000 0.0000 0.3693
0.0000 0.0000 0.6307
0.0000 0.0000 0.8769
0.5000 0.5000 0.0000
0.5000 0.5000 0.2486
0.5000 0.5000 0.7514
0.5000 0.5000 0.5000
```

space group: No. 123
final energy: -9.57 eV/atom
DOS(E_F): 8.91 states/eV per cell
ρ: 7.96 g/cm³
DFT formation energy: -0.383 eV/atom